No. 1
Below is crystalline Zr2SnO at its relaxed geometry, with properties calculated at the PBE level.

Calculated volume ... 300.9 Å³ per cell
E above lowest polymorph ... 0.875 eV per atom
Formation energy without anion corrections ... -0.463 eV/atom
Crystal system ... cubic
Spin magnetization ... 0.000 μB/atom

a b c (Å): 6.701 6.701 6.701
angles (deg): 90.00 90.00 90.00
Space group Fm-3m (No. 225)
Asymmetric unit:
1 Zr 0.250 0.250 0.250 [8 per cell]
2 Sn 0.000 0.000 0.000 [4 per cell]
3 O 0.000 0.000 0.500 [4 per cell]

=====

No. 2
Below is crystalline SrO10 at its relaxed geometry, with properties calculated at the PBE level.

Calculated volume ... 157.2 Å³ per cell
E above lowest polymorph ... 0.956 eV per atom
Formation energy without anion corrections ... 0.524 eV/atom
Crystal system ... tetragonal
Spin magnetization ... 0.012 μB/atom

a b c (Å): 5.214 5.214 5.784
angles (deg): 90.00 90.00 90.00
Space group P4/mmm (No. 123)
Asymmetric unit:
1 Sr 0.000 0.000 0.000 [1 per cell]
2 O 0.000 0.500 0.000 [2 per cell]
3 O 0.354 0.354 0.245 [8 per cell]

=====

No. 3
Below is crystalline SrO10 at its relaxed geometry, with properties calculated at the PBE level.

Calculated volume ... 384.9 Å³ per cell
E above lowest polymorph ... 0.027 eV per atom
Formation energy without anion corrections ... -0.404 eV/atom
Crystal system ... tetragonal
Spin magnetization ... 0.364 μB/atom

a b c (Å): 5.929 5.929 10.950
angles (deg): 90.00 90.00 90.00
Space group P4/mcc (No. 124)
Asymmetric unit:
1 Sr 0.000 0.000 0.000 [2 per cell]
2 O 0.003 0.393 0.097 [16 per cell]
3 O 0.500 0.500 0.056 [4 per cell]

=====

No. 4
Below is crystalline Sr2O3 at its relaxed geometry, with properties calculated at the PBE level.

Calculated volume ... 95.0 Å³ per cell
Formation energy without anion corrections ... -1.533 eV/atom
Crystal system ... cubic
Spin magnetization ... 0.400 μB/atom

a b c (Å): 4.563 4.563 4.563
angles (deg): 90.00 90.00 90.00
Space group Pm-3m (No. 221)
Asymmetric unit:
1 Sr 0.000 0.000 0.000 [1 per cell]
2 Sr 0.500 0.500 0.500 [1 per cell]
3 O 0.000 0.000 0.500 [3 per cell]

=====

No. 5
Below is crystalline Sr4O at its relaxed geometry, with properties calculated at the PBE level.

Calculated volume ... 178.5 Å³ per cell
Formation energy without anion corrections ... -0.861 eV/atom
Crystal system ... cubic
Spin magnetization ... 0.000 μB/atom

a b c (Å): 5.631 5.631 5.631
angles (deg): 90.00 90.00 90.00
Space group Pm-3m (No. 221)
Asymmetric unit:
1 Sr 0.000 0.000 0.000 [1 per cell]
2 Sr 0.000 0.500 0.500 [3 per cell]
3 O 0.500 0.500 0.500 [1 per cell]

=====

No. 6
Below is crystalline Sr3O at its relaxed geometry, with properties calculated at the PBE level.

Calculated volume ... 275.4 Å³ per cell
Formation energy without anion corrections ... -1.109 eV/atom
Crystal system ... orthorhombic
Spin magnetization ... 0.000 μB/atom

a b c (Å): 3.536 11.490 6.778
angles (deg): 90.00 90.00 90.00
Space group Imm2 (No. 44)
Asymmetric unit:
1 Sr 0.000 0.000 0.000 [2 per cell]
2 Sr 0.000 0.151 0.564 [4 per cell]
3 O 0.000 0.500 0.212 [2 per cell]

=====

No. 7
Below is crystalline SrO10 at its relaxed geometry, with properties calculated at the PBE level.

Calculated volume ... 202.4 Å³ per cell
E above lowest polymorph ... 0.029 eV per atom
Formation energy without anion corrections ... -0.403 eV/atom
Crystal system ... tetragonal
Spin magnetization ... 0.367 μB/atom

a b c (Å): 6.341 6.341 5.034
angles (deg): 90.00 90.00 90.00
Space group P4/mmm (No. 123)
Asymmetric unit:
1 Sr 0.000 0.000 0.000 [1 per cell]
2 O 0.191 0.191 0.374 [8 per cell]
3 O 0.500 0.500 0.123 [2 per cell]

=====

No. 8
Below is crystalline SrO10 at its relaxed geometry, with properties calculated at the PBE level.

Calculated volume ... 330.1 Å³ per cell
E above lowest polymorph ... 0.000 eV per atom
Formation energy without anion corrections ... -0.431 eV/atom
Crystal system ... tetragonal
Spin magnetization ... 0.369 μB/atom

a b c (Å): 6.067 6.067 8.970
angles (deg): 90.00 90.00 90.00
Space group P4/mcc (No. 124)
Asymmetric unit:
1 Sr 0.000 0.000 0.250 [2 per cell]
2 O 0.060 0.338 0.071 [16 per cell]
3 O 0.500 0.500 0.181 [4 per cell]

=====

No. 9
Below is crystalline Sr3O4 at its relaxed geometry, with properties calculated at the PBE level.

Calculated volume ... 319.3 Å³ per cell
Formation energy without anion corrections ... -2.214 eV/atom
Crystal system ... monoclinic
Spin magnetization ... 0.000 μB/atom

a b c (Å): 25.704 3.541 3.541
angles (deg): 90.00 97.83 90.00
Space group C2/m (No. 12)
Asymmetric unit:
1 Sr 0.000 0.000 0.000 [2 per cell]
2 Sr 0.199 0.000 0.199 [4 per cell]
3 O 0.030 0.500 0.530 [4 per cell]
4 O 0.203 0.500 0.703 [4 per cell]

=====

No. 10
Below is crystalline SrO2 at its relaxed geometry, with properties calculated at the PBE level.

Calculated volume ... 87.0 Å³ per cell
Formation energy without anion corrections ... -1.882 eV/atom
Crystal system ... tetragonal
Spin magnetization ... 0.000 μB/atom

a b c (Å): 3.571 3.571 6.819
angles (deg): 90.00 90.00 90.00
Space group I4/mmm (No. 139)
Asymmetric unit:
1 Sr 0.000 0.000 0.000 [2 per cell]
2 O 0.000 0.000 0.389 [4 per cell]

=====

No. 11
Below is crystalline SrO2 at its relaxed geometry, with properties calculated at the PBE level.

Calculated volume ... 214.0 Å³ per cell
Formation energy without anion corrections ... -1.883 eV/atom
Crystal system ... orthorhombic
Spin magnetization ... 0.000 μB/atom

a b c (Å): 8.392 4.947 5.155
angles (deg): 90.00 90.00 90.00
Space group Pnma (No. 62)
Asymmetric unit:
1 Sr 0.158 0.250 0.012 [4 per cell]
2 O 0.128 0.750 0.162 [4 per cell]
3 O 0.138 0.750 0.869 [4 per cell]

=====

No. 12
Below is crystalline SrO2 at its relaxed geometry, with properties calculated at the PBE level.

Calculated volume ... 102.4 Å³ per cell
Formation energy without anion corrections ... -1.767 eV/atom
Crystal system ... hexagonal
Spin magnetization ... 0.000 μB/atom

a b c (Å): 3.8936 3.8936 7.7990
angles (deg): 90.00 90.00 120.00
Space group P6_3/mmc (No. 194)
Asymmetric unit:
1 Sr 0.0000 0.0000 0.0000 [2 per cell]
2 O 0.3333 0.6667 0.1532 [4 per cell]